[1]
Computed, not measured: an optimized crystal structure of Rb6Tl3Au at the PBE level of DFT.

POSCAR file:
```
Rb6Tl3Au
1.0
-1.9914 7.3704 1.4914
-1.4779 0.6119 -7.6128
-7.0738 -2.7768 1.6624
Rb Tl Au
6 3 1
Direct
0.6075 0.9447 0.2350
0.9447 0.2350 0.6075
0.2350 0.6075 0.9447
0.4669 0.0951 0.7568
0.0951 0.7568 0.4669
0.7568 0.4669 0.0951
0.3484 0.3484 0.3484
0.6078 0.6078 0.6078
0.0892 0.0892 0.0892
0.8485 0.8485 0.8485
```

## Properties
ΔH_f (0 K)	-1.40	kcal/mol of atoms
space-group type	R3
N(E_F)	7.4	states/eV/cell


[2]
Computed, not measured: an optimized crystal structure of MgTlSi at the PBE level of DFT.

POSCAR file:
```
MgTlSi
1.0
-5.3770 0.1516 3.7312
-3.1155 -1.4503 5.5718
0.3668 2.7047 1.9021
Mg Si Tl
1 1 1
Direct
0.9777 0.9777 0.0223
0.3485 0.3485 0.6515
0.6738 0.6738 0.3262
```

## Properties
space-group type	I4mm
N(E_F)	1.3	states/eV/cell
distance to the lowest polymorph of the same formula	0.158	eV per atom


What is the N(E_F) in the second record? 1.3 states/eV/cell


Which value of N(E_F) does entry 2 give? 1.3 states/eV/cell


Which of these has the lowest N(E_F)? MgTlSi


What is the N(E_F) in the first record? 7.4 states/eV/cell